No. 1
Computed, not measured: MgBe2Rh2 at its PBEsol-relaxed geometry at the SCAN level of DFT.

Cell lengths 6.299, 6.299, 2.905 Å; angles 90.00, 90.00, 90.00 degrees
Atoms (fractional coordinates):
Mg 0.000 0.000 0.000
Mg 0.500 0.500 0.000
Be 0.123 0.377 0.000
Be 0.377 0.877 0.000
Be 0.623 0.123 0.000
Be 0.877 0.623 0.000
Rh 0.165 0.665 0.500
Rh 0.335 0.165 0.500
Rh 0.665 0.835 0.500
Rh 0.835 0.335 0.500

## Properties
For the calculated formation energy, the calculation gives -754 meV/atom.

---

No. 2
Computed, not measured: Mg2BeRh at its PBEsol-relaxed geometry at the SCAN level of DFT.

Cell lengths 4.819, 4.819, 4.819 Å; angles 133.88, 133.88, 67.27 degrees
Atoms (fractional coordinates):
Mg 0.000 0.000 0.000
Mg 0.750 0.250 0.500
Be 0.250 0.750 0.500
Rh 0.500 0.500 0.000

## Properties
For the calculated formation energy, the calculation gives -250 meV/atom.

---

No. 3
Computed, not measured: MgBeRu at its PBEsol-relaxed geometry at the SCAN level of DFT.

Cell lengths 4.113, 4.113, 2.660 Å; angles 90.00, 90.00, 120.00 degrees
Atoms (fractional coordinates):
Mg 0.000 0.000 0.000
Be 0.333 0.667 0.655
Ru 0.667 0.333 0.446

## Properties
For the calculated formation energy, the calculation gives 16 meV/atom.

---

No. 4
Computed, not measured: MgBeRu3 at its PBEsol-relaxed geometry at the SCAN level of DFT.

Cell lengths 4.363, 4.363, 4.363 Å; angles 90.00, 90.00, 90.00 degrees
Atoms (fractional coordinates):
Mg 0.000 0.000 0.000
Be 0.500 0.500 0.500
Ru 0.000 0.000 0.500
Ru 0.000 0.500 0.000
Ru 0.500 0.000 0.000

## Properties
For the calculated formation energy, the calculation gives 2020 meV/atom.

---

No. 5
Computed, not measured: MgBe2Ru2 at its PBEsol-relaxed geometry at the SCAN level of DFT.

Cell lengths 6.020, 6.020, 3.110 Å; angles 90.00, 90.00, 90.00 degrees
Atoms (fractional coordinates):
Mg 0.000 0.000 0.000
Mg 0.500 0.500 0.000
Be 0.120 0.380 0.000
Be 0.380 0.880 0.000
Be 0.620 0.120 0.000
Be 0.880 0.620 0.000
Ru 0.171 0.671 0.500
Ru 0.329 0.171 0.500
Ru 0.671 0.829 0.500
Ru 0.829 0.329 0.500

## Properties
For the calculated formation energy, the calculation gives -416 meV/atom.

---

No. 6
Computed, not measured: MgBeS3 at its PBEsol-relaxed geometry at the SCAN level of DFT.

Cell lengths 4.671, 4.671, 4.671 Å; angles 90.00, 90.00, 90.00 degrees
Atoms (fractional coordinates):
Mg 0.000 0.000 0.000
Be 0.500 0.500 0.500
S 0.000 0.000 0.500
S 0.000 0.500 0.000
S 0.500 0.000 0.000

## Properties
The value obtained for the uncorrected formation energy is 61.75 kJ/mol of atoms.

---

No. 7
Computed, not measured: Mg3BeS at its PBEsol-relaxed geometry at the SCAN level of DFT.

Cell lengths 4.749, 4.749, 4.749 Å; angles 90.00, 90.00, 90.00 degrees
Atoms (fractional coordinates):
Mg 0.000 0.000 0.500
Mg 0.000 0.500 0.000
Mg 0.500 0.000 0.000
Be 0.500 0.500 0.500
S 0.000 0.000 0.000

## Properties
The value obtained for the uncorrected formation energy is 12.82 kJ/mol of atoms.

---

No. 8
Computed, not measured: MgBe2Sb at its PBEsol-relaxed geometry at the SCAN level of DFT.

Cell lengths 5.858, 5.858, 5.858 Å; angles 102.43, 102.43, 124.71 degrees
Atoms (fractional coordinates):
Mg 0.000 0.000 0.000
Mg 0.750 0.250 0.500
Be 0.170 0.625 0.045
Be 0.375 0.420 0.545
Be 0.580 0.125 0.955
Be 0.875 0.830 0.455
Sb 0.250 0.750 0.500
Sb 0.500 0.500 0.000

## Properties
The energy above the most stable polymorph in this dataset comes out at 116 meV per atom. The value obtained for the uncorrected formation energy is 59.13 kJ/mol of atoms.

---

No. 9
Computed, not measured: Mg2BeSb at its PBEsol-relaxed geometry at the SCAN level of DFT.

Cell lengths 9.980, 9.980, 9.980 Å; angles 155.78, 155.78, 34.52 degrees
Atoms (fractional coordinates):
Mg 0.102 0.625 0.977
Mg 0.375 0.352 0.477
Mg 0.648 0.125 0.023
Mg 0.875 0.898 0.523
Be 0.000 0.000 0.000
Be 0.750 0.250 0.500
Sb 0.250 0.750 0.500
Sb 0.500 0.500 0.000

## Properties
The energy above the most stable polymorph in this dataset comes out at 300 meV per atom. The value obtained for the uncorrected formation energy is 31.19 kJ/mol of atoms.

---

No. 10
Computed, not measured: Mg2BeSb at its PBEsol-relaxed geometry at the SCAN level of DFT.

Cell lengths 3.903, 5.456, 5.456 Å; angles 44.35, 90.00, 90.00 degrees
Atoms (fractional coordinates):
Mg 0.000 0.000 0.000
Mg 0.500 0.309 0.309
Be 0.500 0.566 0.566
Sb 0.000 0.712 0.712

## Properties
The energy above the most stable polymorph in this dataset comes out at 0 meV per atom. The value obtained for the uncorrected formation energy is 2.24 kJ/mol of atoms.

---

No. 11
Computed, not measured: MgBe2Sb at its PBEsol-relaxed geometry at the SCAN level of DFT.

Cell lengths 3.482, 3.482, 5.465 Å; angles 90.00, 90.00, 90.00 degrees
Atoms (fractional coordinates):
Mg 0.000 0.000 0.000
Be 0.500 0.500 0.285
Be 0.500 0.500 0.715
Sb 0.000 0.000 0.500

## Properties
The energy above the most stable polymorph in this dataset comes out at 0 meV per atom. The value obtained for the uncorrected formation energy is 47.92 kJ/mol of atoms.

---

No. 12
Computed, not measured: Mg2ScBe at its PBEsol-relaxed geometry at the SCAN level of DFT.

Cell lengths 9.794, 9.794, 9.794 Å; angles 17.86, 17.86, 17.86 degrees
Atoms (fractional coordinates):
Mg 0.239 0.239 0.239
Mg 0.761 0.761 0.761
Sc 0.000 0.000 0.000
Be 0.500 0.500 0.500

## Properties
For the calculated formation energy, the calculation gives 334 meV/atom.

---

Copy entry 11 word for word.
Computed, not measured: MgBe2Sb at its PBEsol-relaxed geometry at the SCAN level of DFT.

Cell lengths 3.482, 3.482, 5.465 Å; angles 90.00, 90.00, 90.00 degrees
Atoms (fractional coordinates):
Mg 0.000 0.000 0.000
Be 0.500 0.500 0.285
Be 0.500 0.500 0.715
Sb 0.000 0.000 0.500

## Properties
The energy above the most stable polymorph in this dataset comes out at 0 meV per atom. The value obtained for the uncorrected formation energy is 47.92 kJ/mol of atoms.